Material: RbNa2Se
Method: DFT, GGA-PBE
State: relaxed

a b c (Å): 8.890 8.890 8.795
angles (deg): 59.64 59.64 90.00
Fractional coordinates of all 8 atoms:
Na 0.375 0.125 0.250
Na 0.375 0.625 0.250
Na 0.375 0.625 0.750
Na 0.875 0.625 0.750
Se 0.500 0.500 0.000
Se 0.250 0.750 0.500
Rb 0.000 0.000 0.000
Rb 0.750 0.250 0.500

Computed properties:
Uncorrected formation energy = -539 meV/atom
Calculated density = 1437 kg/m³

Material: RbNa2Se2
Method: DFT, GGA-PBE
State: relaxed

a b c (Å): 4.891 4.891 7.188
angles (deg): 70.11 70.11 90.00
Fractional coordinates of all 5 atoms:
Na 0.750 0.250 0.500
Na 0.250 0.750 0.500
Se 0.378 0.378 0.245
Se 0.622 0.622 0.755
Rb 0.000 0.000 0.000

Computed properties:
Offset from the most stable computed form = 88 meV/atom
Uncorrected formation energy = -872 meV/atom
Calculated density = 3188 kg/m³

Material: RbNa2Se
Method: DFT, GGA-PBE
State: relaxed

a b c (Å): 4.750 4.750 9.150
angles (deg): 74.95 74.95 60.00
Fractional coordinates of all 4 atoms:
Na 0.297 0.297 0.110
Na 0.703 0.703 0.890
Se 0.000 0.000 0.000
Rb 0.500 0.500 0.500

Computed properties:
Uncorrected formation energy = -653 meV/atom
Calculated density = 2048 kg/m³

Material: RbNaSe2
Method: DFT, GGA-PBE
State: relaxed

a b c (Å): 5.526 5.526 5.526
angles (deg): 60.00 60.00 60.00
Fractional coordinates of all 4 atoms:
Na 0.000 0.000 0.000
Se 0.250 0.250 0.250
Se 0.750 0.750 0.750
Rb 0.500 0.500 0.500

Computed properties:
Offset from the most stable computed form = 315 meV/atom
Uncorrected formation energy = -478 meV/atom
Calculated density = 3707 kg/m³